[1]
# PBE-GGA Ni12Te3Pd5, optimized geometry
data_Ni12Te3Pd5
_chemical_formula_sum 'Ni96 Te24 Pd40'
_cell_length_a 14.2210
_cell_length_b 14.2210
_cell_length_c 14.2210
_cell_angle_alpha 90.00
_cell_angle_beta 90.00
_cell_angle_gamma 90.00
_space_group_name_H-M_alt 'I a -3 d'
_space_group_IT_number 230
_space_group_name_Hall '-I 4bd 2c 3'
loop_
_atom_site_label
_atom_site_type_symbol
_atom_site_fract_x
_atom_site_fract_y
_atom_site_fract_z
Ni1 Ni 0.0037 0.0768 0.6524
Te1 Te 0.0000 0.2500 0.1250
Pd1 Pd 0.0000 0.0000 0.0000
Pd2 Pd 0.0000 0.2500 0.3750
# magnetization	0.000	μB/atom
# total DFT energy (no corrections)	-4.650	eV per atom
# formation energy without anion corrections	0.59	eV/atom

---

[2]
# PBE-GGA Na2Sr2Al, optimized geometry
data_Na2Sr2Al
_chemical_formula_sum 'Na4 Sr4 Al2'
_cell_length_a 8.1743
_cell_length_b 8.1743
_cell_length_c 5.4614
_cell_angle_alpha 90.00
_cell_angle_beta 90.00
_cell_angle_gamma 90.00
_space_group_name_H-M_alt 'P 4/m b m'
_space_group_IT_number 127
_space_group_name_Hall '-P 4 2ab'
loop_
_atom_site_label
_atom_site_type_symbol
_atom_site_fract_x
_atom_site_fract_y
_atom_site_fract_z
Na1 Na 0.1326 0.3674 0.0000
Sr1 Sr 0.1900 0.6900 0.5000
Al1 Al 0.0000 0.0000 0.0000
# formation energy	0.151	eV per atom
# magnetization	0.000	μB/atom
# total DFT energy (no corrections)	-1.797	eV per atom

---

[3]
# PBE-GGA EuNbH, optimized geometry
data_EuNbH
_chemical_formula_sum 'Eu4 Nb4 H4'
_cell_length_a 11.2448
_cell_length_b 3.4156
_cell_length_c 5.3643
_cell_angle_alpha 90.00
_cell_angle_beta 90.00
_cell_angle_gamma 90.00
_space_group_name_H-M_alt 'A m m 2'
_space_group_IT_number 38
loop_
_space_group_symop_operation_xyz
'x,y,z'
'-x,-y,z'
'-x,y,z'
'x,-y,z'
'x,y+1/2,z+1/2'
'-x,-y+1/2,z+1/2'
'-x,y+1/2,z+1/2'
'x,-y+1/2,z+1/2'
loop_
_atom_site_label
_atom_site_type_symbol
_atom_site_fract_x
_atom_site_fract_y
_atom_site_fract_z
Eu1 Eu 0.1529 0.0000 0.0000
Nb1 Nb 0.3876 0.0000 0.4853
H1 H 0.0000 0.0000 0.3581
H2 H 0.5000 0.0000 0.1475
# magnetization	2.414	μB/atom
# total DFT energy (no corrections)	-7.650	eV per atom

---

[4]
# PBE-GGA Sm7Ho2Tm4, optimized geometry
data_Sm7Ho2Tm4
_chemical_formula_sum 'Sm7 Ho2 Tm4'
_cell_length_a 7.9620
_cell_length_b 7.9784
_cell_length_c 7.9948
_cell_angle_alpha 107.47
_cell_angle_beta 107.55
_cell_angle_gamma 107.40
_space_group_name_H-M_alt 'P -1'
_space_group_IT_number 2
loop_
_space_group_symop_operation_xyz
'x,y,z'
'-x,-y,-z'
loop_
_atom_site_label
_atom_site_type_symbol
_atom_site_fract_x
_atom_site_fract_y
_atom_site_fract_z
Sm1 Sm 0.0000 0.0000 0.0000
Sm2 Sm 0.3068 0.7695 0.9239
Sm3 Sm 0.3837 0.4607 0.1538
Sm4 Sm 0.4619 0.1534 0.3864
Ho1 Ho 0.1521 0.3841 0.4632
Tm1 Tm 0.0758 0.6919 0.2324
Tm2 Tm 0.2277 0.0768 0.6909
# formation energy	0.019	eV per atom
# magnetization	0.000	μB/atom
# total DFT energy (no corrections)	-4.602	eV per atom

---

[5]
# PBE-GGA Tb2ThSc4, optimized geometry
data_Tb2ThSc4
_chemical_formula_sum 'Tb8 Th4 Sc16'
_cell_length_a 6.3935
_cell_length_b 10.6328
_cell_length_c 11.8865
_cell_angle_alpha 90.00
_cell_angle_beta 90.00
_cell_angle_gamma 90.00
_space_group_name_H-M_alt 'I m m a'
_space_group_IT_number 74
_space_group_name_Hall '-I 2b 2'
loop_
_atom_site_label
_atom_site_type_symbol
_atom_site_fract_x
_atom_site_fract_y
_atom_site_fract_z
Tb1 Tb 0.0000 0.0000 0.0000
Tb2 Tb 0.0000 0.2500 0.2234
Th1 Th 0.2500 0.2500 0.7500
Sc1 Sc 0.0000 0.0074 0.6302
Sc2 Sc 0.2206 0.2500 0.4894
# formation energy	0.292	eV per atom
# magnetization	0.000	μB/atom
# total DFT energy (no corrections)	-5.709	eV per atom
# energy above the most stable polymorph in this dataset	0.116	eV/atom

---

[6]
# PBE-GGA Hf6ReMo, optimized geometry
data_Hf6ReMo
_chemical_formula_sum 'Hf12 Re2 Mo2'
_cell_length_a 4.7110
_cell_length_b 4.7110
_cell_length_c 14.5486
_cell_angle_alpha 90.00
_cell_angle_beta 90.00
_cell_angle_gamma 90.00
_space_group_name_H-M_alt 'I 4/m m m'
_space_group_IT_number 139
_space_group_name_Hall '-I 4 2'
loop_
_atom_site_label
_atom_site_type_symbol
_atom_site_fract_x
_atom_site_fract_y
_atom_site_fract_z
Hf1 Hf 0.0000 0.0000 0.2495
Hf2 Hf 0.0000 0.5000 0.1076
Re1 Re 0.0000 0.0000 0.5000
Mo1 Mo 0.0000 0.0000 0.0000
# formation energy	-0.069	eV per atom
# magnetization	0.000	μB/atom
# total DFT energy (no corrections)	-10.444	eV per atom

---

Which value of magnetization does entry 6 give? 0.000 μB/atom

---

Look up the total DFT energy (no corrections) of the fifth one. -5.709 eV per atom

---

The highest magnetization belongs to which entry? EuNbH

---

magnetization of number 5 (Tb2ThSc4)? 0.000 μB/atom